# ErScBi2

Crystalline ErScBi2 at its relaxed geometry (PBE, Alexandria via LeMat-Bulk).

Computed properties:
Excess energy over the best structure of this formula in the dataset ... 2 meV per atom
Total energy ... -21.581 eV per formula unit
DFT formation energy ... -731 meV/atom
Density of states at the Fermi level ... 0.61 states/eV/f.u.

Cell: 4.354 6.181 8.709 Å, 90.00 90.00 90.00°
Atoms (fractional coordinates):
Er (0.250, 0.250, 0.127)
Er (0.750, 0.750, 0.873)
Sc (0.250, 0.250, 0.624)
Sc (0.750, 0.750, 0.376)
Bi (0.250, 0.750, 0.134)
Bi (0.250, 0.750, 0.615)
Bi (0.750, 0.250, 0.385)
Bi (0.750, 0.250, 0.866)

---

# ErSc4Bi5

Crystalline ErSc4Bi5 at its relaxed geometry (PBE, Alexandria via LeMat-Bulk).

Computed properties:
Total energy ... -56.170 eV per formula unit
DFT formation energy ... -688 meV/atom
Density of states at the Fermi level ... 1.91 states/eV/f.u.

Cell: 11.382 11.382 11.382 Å, 158.23 148.94 38.26°
Atoms (fractional coordinates):
Er (0.000, 0.000, 0.000)
Sc (0.203, 0.203, 0.000)
Sc (0.400, 0.400, 0.000)
Sc (0.600, 0.600, 0.000)
Sc (0.797, 0.797, 0.000)
Bi (0.105, 0.605, 0.500)
Bi (0.301, 0.801, 0.500)
Bi (0.500, 0.000, 0.500)
Bi (0.699, 0.199, 0.500)
Bi (0.895, 0.395, 0.500)

---

# ErSc2Bi

Crystalline ErSc2Bi at its relaxed geometry (PBE, Alexandria via LeMat-Bulk).

Computed properties:
Excess energy over the best structure of this formula in the dataset ... 156 meV per atom
Total energy ... -22.245 eV per formula unit
DFT formation energy ... -284 meV/atom
Density of states at the Fermi level ... 4.88 states/eV/f.u.

Cell: 3.940 3.940 6.743 Å, 90.00 90.00 90.00°
Atoms (fractional coordinates):
Er (0.000, 0.000, 0.000)
Sc (0.500, 0.500, 0.266)
Sc (0.500, 0.500, 0.734)
Bi (0.000, 0.000, 0.500)

---

# ErScBiSe

Crystalline ErScBiSe at its relaxed geometry (PBE, Alexandria via LeMat-Bulk).

Computed properties:
Total energy ... -22.789 eV per formula unit
Energy relative to the elements, uncorrected ... -1.132 eV/atom
Density of states at the Fermi level ... 3.04 states/eV/f.u.

Cell: 7.502 7.502 7.502 Å, 31.45 31.45 31.45°
Atoms (fractional coordinates):
Er (0.000, 0.000, 0.000)
Sc (0.184, 0.184, 0.184)
Bi (0.763, 0.763, 0.763)
Se (0.586, 0.586, 0.586)

---

# SmEr2ScBi4

Crystalline SmEr2ScBi4 at its relaxed geometry (PBE, Alexandria via LeMat-Bulk).

Computed properties:
Total energy ... -41.991 eV per formula unit
DFT formation energy ... -786 meV/atom
Density of states at the Fermi level ... 1.37 states/eV/f.u.

Cell: 7.679 4.439 7.686 Å, 90.00 109.48 90.00°
Atoms (fractional coordinates):
Sm (0.000, 0.000, 0.000)
Er (0.000, 0.500, 0.500)
Er (0.500, 0.000, 0.500)
Sc (0.500, 0.500, 0.000)
Bi (0.259, 0.500, 0.251)
Bi (0.261, 0.000, 0.755)
Bi (0.739, 0.000, 0.245)
Bi (0.741, 0.500, 0.749)

---

# SmErSc2Bi4

Crystalline SmErSc2Bi4 at its relaxed geometry (PBE, Alexandria via LeMat-Bulk).

Computed properties:
Total energy ... -43.522 eV per formula unit
DFT formation energy ... -757 meV/atom
Density of states at the Fermi level ... 1.46 states/eV/f.u.

Cell: 7.591 4.390 7.603 Å, 90.00 109.50 90.00°
Atoms (fractional coordinates):
Sm (0.000, 0.000, 0.000)
Er (0.000, 0.500, 0.500)
Sc (0.500, 0.000, 0.500)
Sc (0.500, 0.500, 0.000)
Bi (0.265, 0.000, 0.751)
Bi (0.268, 0.500, 0.259)
Bi (0.732, 0.500, 0.741)
Bi (0.735, 0.000, 0.249)